Record 1
Here is an optimized crystal structure of Tm2IrRh from the Alexandria database. Energies are from PBE.

Cell and atoms, written as CIF:
```
data_Tm2IrRh
_chemical_formula_sum 'Tm2 Ir1 Rh1'
_cell_length_a 4.703
_cell_length_b 4.703
_cell_length_c 3.486
_cell_angle_alpha 90.00
_cell_angle_beta 90.00
_cell_angle_gamma 90.00
_symmetry_space_group_name_H-M 'P 4/m m m'
_symmetry_Int_Tables_number 123
_symmetry_space_group_name_Hall '-P 4 2'
loop_
_atom_site_label
_atom_site_type_symbol
_atom_site_fract_x
_atom_site_fract_y
_atom_site_fract_z
Tm1 Tm 0.000 0.500 0.000
Ir1 Ir 0.000 0.000 0.500
Rh1 Rh 0.500 0.500 0.500
```

Properties
- Total magnetic moment: 0.00 μB per atom
- Fermi-level density of states: 1.89 states/eV/cell
- Energy above the most stable polymorph in this dataset: 0.33 kcal/mol of atoms
- ΔE_f: -0.952 eV per atom
- Calculated total energy: -7.241 eV/atom

***

Record 2
Here is an optimized crystal structure of Ce6PuCoHg2 from the Alexandria database. Energies are from PBE.

Cell and atoms, written as CIF:
```
data_Ce6PuCoHg2
_chemical_formula_sum 'Ce12 Pu2 Co2 Hg4'
_cell_length_a 7.236
_cell_length_b 7.236
_cell_length_c 10.254
_cell_angle_alpha 90.00
_cell_angle_beta 90.00
_cell_angle_gamma 90.00
_symmetry_space_group_name_H-M 'I 4/m m m'
_symmetry_Int_Tables_number 139
_symmetry_space_group_name_Hall '-I 4 2'
loop_
_atom_site_label
_atom_site_type_symbol
_atom_site_fract_x
_atom_site_fract_y
_atom_site_fract_z
Ce1 Ce 0.000 0.000 0.240
Ce2 Ce 0.240 0.240 0.000
Pu1 Pu 0.000 0.000 0.000
Co1 Co 0.000 0.000 0.500
Hg1 Hg 0.000 0.500 0.250
```

Properties
- Total magnetic moment: 0.00 μB per atom
- Fermi-level density of states: 37.71 states/eV/cell
- ΔE_f: -0.291 eV per atom
- Calculated total energy: -6.056 eV/atom

***

Record 3
Here is an optimized crystal structure of BaV2Re from the Alexandria database. Energies are from PBE.

Cell and atoms, written as CIF:
```
data_BaV2Re
_chemical_formula_sum 'Ba4 V8 Re4'
_cell_length_a 6.636
_cell_length_b 6.636
_cell_length_c 6.636
_cell_angle_alpha 90.00
_cell_angle_beta 90.00
_cell_angle_gamma 90.00
_symmetry_space_group_name_H-M 'F m -3 m'
_symmetry_Int_Tables_number 225
_symmetry_space_group_name_Hall '-F 4 2 3'
loop_
_atom_site_label
_atom_site_type_symbol
_atom_site_fract_x
_atom_site_fract_y
_atom_site_fract_z
Ba1 Ba 0.000 0.000 0.000
V1 V 0.250 0.250 0.250
Re1 Re 0.000 0.000 0.500
```

Properties
- Total magnetic moment: 0.33 μB per atom
- Fermi-level density of states: 22.11 states/eV/cell
- ΔE_f: 1.154 eV per atom
- Calculated total energy: -6.998 eV/atom

***

Record 4
Here is an optimized crystal structure of MgSn2Pb2 from the Alexandria database. Energies are from PBE.

Cell and atoms, written as CIF:
```
data_MgSn2Pb2
_chemical_formula_sum 'Mg2 Sn4 Pb4'
_cell_length_a 23.362
_cell_length_b 3.467
_cell_length_c 3.468
_cell_angle_alpha 90.00
_cell_angle_beta 98.22
_cell_angle_gamma 90.00
_symmetry_space_group_name_H-M 'C 1 2/m 1'
_symmetry_Int_Tables_number 12
loop_
_symmetry_equiv_pos_as_xyz
'x,y,z'
'-x,-y,-z'
'-x,y,-z'
'x,-y,z'
'x+1/2,y+1/2,z'
'-x+1/2,-y+1/2,-z'
'-x+1/2,y+1/2,-z'
'x+1/2,-y+1/2,z'
loop_
_atom_site_label
_atom_site_type_symbol
_atom_site_fract_x
_atom_site_fract_y
_atom_site_fract_z
Mg1 Mg 0.000 0.000 0.000
Sn1 Sn 0.086 0.500 0.582
Pb1 Pb 0.193 0.000 0.199
```

Properties
- Total magnetic moment: 0.00 μB per atom
- Fermi-level density of states: 4.84 states/eV/cell
- Energy above the most stable polymorph in this dataset: 0.00 kcal/mol of atoms
- ΔE_f: -0.025 eV per atom
- Calculated total energy: -3.429 eV/atom